The following is a PBE calculation of an optimized crystal structure of Dy3Cu3Rh2, from Alexandria via LeMat-Bulk.

**Formation energy**: -0.485 eV/atom
**Calculated volume**: 616 Å³/cell
**Fermi-level density of states**: 4.564 states/eV/f.u.
**Raw total energy**: -178.72 eV for the cell shown

The structure in POSCAR format:
```
Dy3Cu3Rh2
1.0
-0.6512 -3.7846 -3.6354
3.5237 -4.6869 4.2480
-13.9090 -4.2185 6.8832
Rh Dy Cu
8 12 12
Direct
0.6317 0.6174 0.1175 Rh
0.8683 0.1174 0.3825 Rh
0.6317 0.6174 0.3825 Rh
0.3683 0.3826 0.8825 Rh
0.8683 0.1174 0.1175 Rh
0.1317 0.8826 0.6175 Rh
0.3683 0.3826 0.6175 Rh
0.1317 0.8826 0.8825 Rh
0.8794 0.5338 0.8949 Dy
0.3794 0.9662 0.1051 Dy
0.3622 0.6687 0.7500 Dy
0.6206 0.0338 0.8949 Dy
0.3794 0.9662 0.3949 Dy
0.8622 0.8313 0.2500 Dy
0.1206 0.4662 0.1051 Dy
0.8794 0.5338 0.6051 Dy
0.6378 0.3313 0.2500 Dy
0.6206 0.0338 0.6051 Dy
0.1206 0.4662 0.3949 Dy
0.1378 0.1687 0.7500 Dy
0.9082 0.8245 0.0261 Cu
0.4082 0.6755 0.9739 Cu
0.9082 0.8245 0.4739 Cu
0.4082 0.6755 0.5261 Cu
0.0918 0.1755 0.9739 Cu
0.5918 0.3245 0.4739 Cu
0.1404 0.1776 0.2500 Cu
0.0918 0.1755 0.5261 Cu
0.6404 0.3224 0.7500 Cu
0.8596 0.8224 0.7500 Cu
0.5918 0.3245 0.0261 Cu
0.3596 0.6776 0.2500 Cu
```



The following is a PBE calculation of an optimized crystal structure of Dy3Cu2Rh, from Alexandria via LeMat-Bulk.

**Formation energy**: -0.455 eV/atom
**Calculated volume**: 124 Å³/cell
**Fermi-level density of states**: 4.063 states/eV/f.u.
**Raw total energy**: -32.08 eV for the cell shown
**Polymorph energy (0 for the lowest one)**: 0.0000 eV per atom

The structure in POSCAR format:
```
Dy3Cu2Rh
1.0
3.4576 0.0000 0.0000
0.0000 3.4576 0.0000
0.0000 0.0000 10.4001
Dy Cu Rh
3 2 1
Direct
0.0000 0.0000 0.0000 Dy
0.0000 0.0000 0.3388 Dy
0.0000 0.0000 0.6612 Dy
0.5000 0.5000 0.1675 Cu
0.5000 0.5000 0.8325 Cu
0.5000 0.5000 0.5000 Rh
```



The following is a PBE calculation of an optimized crystal structure of Dy2Cu3Rh, from Alexandria via LeMat-Bulk.

**Formation energy**: -0.381 eV/atom
**Calculated volume**: 112 Å³/cell
**Fermi-level density of states**: 4.002 states/eV/f.u.
**Raw total energy**: -31.13 eV for the cell shown

The structure in POSCAR format:
```
Dy2Cu3Rh
1.0
-2.8506 0.4307 2.1039
2.3422 -1.0513 3.3886
1.7929 7.1237 0.9708
Dy Cu Rh
2 3 1
Direct
0.0000 0.5000 0.0152 Dy
0.0000 0.0000 0.4871 Dy
0.5000 0.0000 0.8312 Cu
0.5000 0.0000 0.1556 Cu
0.5000 0.5000 0.6751 Cu
0.5000 0.5000 0.3357 Rh
```



The following is a PBE calculation of an optimized crystal structure of DyCu4Rh, from Alexandria via LeMat-Bulk.

**Formation energy**: -0.284 eV/atom
**Calculated volume**: 87 Å³/cell
**Fermi-level density of states**: 2.006 states/eV/f.u.
**Raw total energy**: -30.05 eV for the cell shown

The structure in POSCAR format:
```
DyCu4Rh
1.0
-2.3180 -2.6578 -3.5116
0.9820 -4.8530 -0.5018
-3.4211 -3.3772 1.2878
Cu Dy Rh
4 1 1
Direct
0.1280 0.6240 0.6240 Cu
0.6240 0.6240 0.1280 Cu
0.6240 0.1280 0.6240 Cu
0.6240 0.6240 0.6240 Cu
0.0000 0.0000 0.0000 Dy
0.2500 0.2500 0.2500 Rh
```



The following is a PBE calculation of an optimized crystal structure of Dy3CuRh2, from Alexandria via LeMat-Bulk.

**Formation energy**: -0.678 eV/atom
**Calculated volume**: 245 Å³/cell
**Fermi-level density of states**: 3.102 states/eV/f.u.
**Raw total energy**: -73.34 eV for the cell shown

The structure in POSCAR format:
```
Dy3CuRh2
1.0
-4.5204 1.1266 -1.4200
1.2302 -4.6533 0.7439
-3.3504 0.9385 11.4105
Dy Cu Rh
6 2 4
Direct
0.6667 0.3333 0.0814 Dy
0.0000 0.0000 0.2472 Dy
0.3333 0.6667 0.9186 Dy
0.0000 0.0000 0.7528 Dy
0.3333 0.6667 0.4164 Dy
0.6667 0.3333 0.5836 Dy
0.6667 0.3333 0.3322 Cu
0.3333 0.6667 0.6678 Cu
0.0000 0.0000 0.0000 Rh
0.6667 0.3333 0.8325 Rh
0.0000 0.0000 0.5000 Rh
0.3333 0.6667 0.1675 Rh
```



The following is a PBE calculation of an optimized crystal structure of Dy12Cu6Rh, from Alexandria via LeMat-Bulk.

**Formation energy**: -0.055 eV/atom
**Calculated volume**: 515 Å³/cell
**Fermi-level density of states**: 20.999 states/eV/f.u.
**Raw total energy**: -88.19 eV for the cell shown

The structure in POSCAR format:
```
Dy12Cu6Rh
1.0
8.1017 0.0493 0.0591
-1.1795 8.0156 0.0591
-1.1795 -1.3742 7.8971
Dy Rh Cu
12 1 6
Direct
0.0373 0.6775 0.9115 Dy
0.5846 0.4353 0.8099 Dy
0.9115 0.0373 0.6775 Dy
0.4154 0.5647 0.1901 Dy
0.9627 0.3225 0.0885 Dy
0.4353 0.8099 0.5846 Dy
0.0885 0.9627 0.3225 Dy
0.6775 0.9115 0.0373 Dy
0.1901 0.4154 0.5647 Dy
0.3225 0.0885 0.9627 Dy
0.8099 0.5846 0.4353 Dy
0.5647 0.1901 0.4154 Dy
0.0000 0.0000 0.0000 Rh
0.1272 0.6260 0.3115 Cu
0.3740 0.6885 0.8728 Cu
0.6260 0.3115 0.1272 Cu
0.3115 0.1272 0.6260 Cu
0.8728 0.3740 0.6885 Cu
0.6885 0.8728 0.3740 Cu
```